Computed, not measured: an optimized crystal structure of Al7Br6 at the PBE level of DFT.

Summary:
The calculation puts the density of states at the Fermi level at 12.84 states/eV/cell. The calculation puts the formation energy without anion corrections at -73.9 meV/atom. For the electronic total energy, the calculation gives -2.861 eV/atom.

Geometry as CIF:
```
data_Al7Br6
_chemical_formula_sum 'Al21 Br18'
_cell_length_a 5.7845
_cell_length_b 5.7845
_cell_length_c 40.2994
_cell_angle_alpha 90.00
_cell_angle_beta 90.00
_cell_angle_gamma 120.00
_symmetry_space_group_name_H-M 'R -3 m'
_symmetry_Int_Tables_number 166
_symmetry_space_group_name_Hall '-R 3 2"'
loop_
_atom_site_label
_atom_site_type_symbol
_atom_site_fract_x
_atom_site_fract_y
_atom_site_fract_z
Al1 Al 0.0000 0.0000 0.0000
Al2 Al 0.0016 0.5008 0.4132
Br1 Br 0.0000 0.0000 0.1361
Br2 Br 0.0000 0.0000 0.3149
Br3 Br 0.0000 0.0000 0.4136
```

Computed, not measured: an optimized crystal structure of AlBr at the PBE level of DFT.

Summary:
The calculation puts the density of states at the Fermi level at 0.00 states/eV/cell. The calculation puts the formation energy without anion corrections at -8.2 meV/atom. For the electronic total energy, the calculation gives -2.716 eV/atom.

Geometry as CIF:
```
data_AlBr
_chemical_formula_sum 'Al4 Br4'
_cell_length_a 7.076
_cell_length_b 7.076
_cell_length_c 7.076
_cell_angle_alpha 90.00
_cell_angle_beta 90.00
_cell_angle_gamma 90.00
_symmetry_space_group_name_H-M 'F -4 3 m'
_symmetry_Int_Tables_number 216
_symmetry_space_group_name_Hall 'F -4 2 3'
loop_
_atom_site_label
_atom_site_type_symbol
_atom_site_fract_x
_atom_site_fract_y
_atom_site_fract_z
Al1 Al 0.000 0.000 0.000
Br1 Br 0.250 0.250 0.750
```

Computed, not measured: an optimized crystal structure of AlBr2 at the PBE level of DFT.

Summary:
The calculation puts the density of states at the Fermi level at 6.34 states/eV/cell. For the energy above the most stable polymorph in this dataset, the calculation gives 572 meV per atom. The calculation puts the formation energy without anion corrections at -301.9 meV/atom. For the electronic total energy, the calculation gives -2.665 eV/atom.

Geometry as CIF:
```
data_AlBr2
_chemical_formula_sum 'Al4 Br8'
_cell_length_a 6.661
_cell_length_b 6.661
_cell_length_c 6.695
_cell_angle_alpha 90.00
_cell_angle_beta 90.00
_cell_angle_gamma 90.00
_symmetry_space_group_name_H-M 'I 4/m c m'
_symmetry_Int_Tables_number 140
_symmetry_space_group_name_Hall '-I 4 2c'
loop_
_atom_site_label
_atom_site_type_symbol
_atom_site_fract_x
_atom_site_fract_y
_atom_site_fract_z
Al1 Al 0.000 0.000 0.250
Br1 Br 0.195 0.305 0.000
```

Computed, not measured: an optimized crystal structure of AlBr3 at the PBE level of DFT.

Summary:
The calculation puts the density of states at the Fermi level at 8.90 states/eV/cell. The calculation puts the formation energy without anion corrections at 84.6 meV/atom. For the electronic total energy, the calculation gives -2.106 eV/atom.

Geometry as CIF:
```
data_AlBr3
_chemical_formula_sum 'Al2 Br6'
_cell_length_a 5.890
_cell_length_b 5.890
_cell_length_c 5.890
_cell_angle_alpha 90.00
_cell_angle_beta 90.00
_cell_angle_gamma 90.00
_symmetry_space_group_name_H-M 'P m -3 n'
_symmetry_Int_Tables_number 223
_symmetry_space_group_name_Hall '-P 4n 2 3'
loop_
_atom_site_label
_atom_site_type_symbol
_atom_site_fract_x
_atom_site_fract_y
_atom_site_fract_z
Al1 Al 0.000 0.000 0.000
Br1 Br 0.000 0.250 0.500
```

Computed, not measured: an optimized crystal structure of AlBr at the PBE level of DFT.

Summary:
The calculation puts the density of states at the Fermi level at 0.43 states/eV/cell. The calculation puts the formation energy without anion corrections at -324.2 meV/atom. For the electronic total energy, the calculation gives -3.032 eV/atom.

Geometry as CIF:
```
data_AlBr
_chemical_formula_sum 'Al2 Br2'
_cell_length_a 4.933
_cell_length_b 4.165
_cell_length_c 6.551
_cell_angle_alpha 90.00
_cell_angle_beta 110.79
_cell_angle_gamma 90.00
_symmetry_space_group_name_H-M 'P 1 21/m 1'
_symmetry_Int_Tables_number 11
loop_
_symmetry_equiv_pos_as_xyz
'x,y,z'
'-x,-y,-z'
'-x,y+1/2,-z'
'x,-y+1/2,z'
loop_
_atom_site_label
_atom_site_type_symbol
_atom_site_fract_x
_atom_site_fract_y
_atom_site_fract_z
Al1 Al 0.186 0.250 0.048
Br1 Br 0.382 0.250 0.743
```

Computed, not measured: an optimized crystal structure of AlBr3 at the PBE level of DFT.

Summary:
The calculation puts the density of states at the Fermi level at 3.43 states/eV/cell. The calculation puts the formation energy without anion corrections at -225.1 meV/atom. For the electronic total energy, the calculation gives -2.415 eV/atom.

Geometry as CIF:
```
data_AlBr3
_chemical_formula_sum 'Al1 Br3'
_cell_length_a 3.6203
_cell_length_b 3.6203
_cell_length_c 9.1545
_cell_angle_alpha 90.00
_cell_angle_beta 90.00
_cell_angle_gamma 120.00
_symmetry_space_group_name_H-M 'P -6 m 2'
_symmetry_Int_Tables_number 187
_symmetry_space_group_name_Hall 'P -6 2'
loop_
_atom_site_label
_atom_site_type_symbol
_atom_site_fract_x
_atom_site_fract_y
_atom_site_fract_z
Al1 Al 0.0000 0.0000 0.0000
Br1 Br 0.0000 0.0000 0.5000
Br2 Br 0.6667 0.3333 0.1864
```

Computed, not measured: an optimized crystal structure of AlBr3 at the PBE level of DFT.

Summary:
The calculation puts the density of states at the Fermi level at 0.00 states/eV/cell. The calculation puts the formation energy without anion corrections at -1090.7 meV/atom. For the electronic total energy, the calculation gives -3.281 eV/atom.

Geometry as CIF:
```
data_AlBr3
_chemical_formula_sum 'Al4 Br12'
_cell_length_a 7.701
_cell_length_b 7.971
_cell_length_c 11.285
_cell_angle_alpha 90.00
_cell_angle_beta 95.13
_cell_angle_gamma 90.00
_symmetry_space_group_name_H-M 'P 1 21/c 1'
_symmetry_Int_Tables_number 14
loop_
_symmetry_equiv_pos_as_xyz
'x,y,z'
'-x,-y,-z'
'-x,y+1/2,-z+1/2'
'x,-y+1/2,z+1/2'
loop_
_atom_site_label
_atom_site_type_symbol
_atom_site_fract_x
_atom_site_fract_y
_atom_site_fract_z
Al1 Al 0.188 0.085 0.058
Br1 Br 0.101 0.556 0.369
Br2 Br 0.242 0.141 0.526
Br3 Br 0.382 0.573 0.670
```

Computed, not measured: an optimized crystal structure of AlBr at the PBE level of DFT.

Summary:
The calculation puts the density of states at the Fermi level at 0.00 states/eV/cell. The calculation puts the formation energy without anion corrections at -11.3 meV/atom. For the electronic total energy, the calculation gives -2.719 eV/atom.

Geometry as CIF:
```
data_AlBr
_chemical_formula_sum 'Al6 Br6'
_cell_length_a 8.605
_cell_length_b 8.605
_cell_length_c 8.605
_cell_angle_alpha 90.00
_cell_angle_beta 90.00
_cell_angle_gamma 90.00
_symmetry_space_group_name_H-M 'P m -3 n'
_symmetry_Int_Tables_number 223
_symmetry_space_group_name_Hall '-P 4n 2 3'
loop_
_atom_site_label
_atom_site_type_symbol
_atom_site_fract_x
_atom_site_fract_y
_atom_site_fract_z
Al1 Al 0.000 0.250 0.500
Br1 Br 0.000 0.500 0.250
```

Computed, not measured: an optimized crystal structure of Al5Br4 at the PBE level of DFT.

Summary:
The calculation puts the density of states at the Fermi level at 5.64 states/eV/cell. The calculation puts the formation energy without anion corrections at 88.4 meV/atom. For the electronic total energy, the calculation gives -2.734 eV/atom.

Geometry as CIF:
```
data_Al5Br4
_chemical_formula_sum 'Al10 Br8'
_cell_length_a 9.3393
_cell_length_b 9.3393
_cell_length_c 6.3443
_cell_angle_alpha 90.00
_cell_angle_beta 90.00
_cell_angle_gamma 120.00
_symmetry_space_group_name_H-M 'P 63/m c m'
_symmetry_Int_Tables_number 193
_symmetry_space_group_name_Hall '-P 6c 2'
loop_
_atom_site_label
_atom_site_type_symbol
_atom_site_fract_x
_atom_site_fract_y
_atom_site_fract_z
Al1 Al 0.0000 0.2741 0.2500
Al2 Al 0.3333 0.6667 0.0000
Br1 Br 0.0000 0.0000 0.0000
Br2 Br 0.0000 0.3603 0.7500
```

Computed, not measured: an optimized crystal structure of Al3Br5 at the PBE level of DFT.

Summary:
The calculation puts the density of states at the Fermi level at 5.76 states/eV/cell. For the energy above the most stable polymorph in this dataset, the calculation gives 7 meV per atom. The calculation puts the formation energy without anion corrections at -307.3 meV/atom. For the electronic total energy, the calculation gives -2.756 eV/atom.

Geometry as CIF:
```
data_Al3Br5
_chemical_formula_sum 'Al6 Br10'
_cell_length_a 9.172
_cell_length_b 13.286
_cell_length_c 3.790
_cell_angle_alpha 90.00
_cell_angle_beta 90.00
_cell_angle_gamma 90.00
_symmetry_space_group_name_H-M 'C m m m'
_symmetry_Int_Tables_number 65
_symmetry_space_group_name_Hall '-C 2 2'
loop_
_atom_site_label
_atom_site_type_symbol
_atom_site_fract_x
_atom_site_fract_y
_atom_site_fract_z
Al1 Al 0.000 0.000 0.000
Al2 Al 0.000 0.323 0.500
Br1 Br 0.000 0.500 0.000
Br2 Br 0.176 0.000 0.500
Br3 Br 0.250 0.250 0.000
```

Computed, not measured: an optimized crystal structure of AlBr at the PBE level of DFT.

Summary:
The calculation puts the density of states at the Fermi level at 0.74 states/eV/cell. The calculation puts the formation energy without anion corrections at -235.3 meV/atom. For the electronic total energy, the calculation gives -2.943 eV/atom.

Geometry as CIF:
```
data_AlBr
_chemical_formula_sum 'Al6 Br6'
_cell_length_a 4.103
_cell_length_b 20.312
_cell_length_c 4.958
_cell_angle_alpha 90.00
_cell_angle_beta 90.00
_cell_angle_gamma 90.00
_symmetry_space_group_name_H-M 'P m m n'
_symmetry_Int_Tables_number 59
loop_
_symmetry_equiv_pos_as_xyz
'x,y,z'
'-x,-y,-z'
'-x+1/2,-y+1/2,z'
'x+1/2,y+1/2,-z'
'x+1/2,-y,-z'
'-x+1/2,y,z'
'-x,y+1/2,-z'
'x,-y+1/2,z'
loop_
_atom_site_label
_atom_site_type_symbol
_atom_site_fract_x
_atom_site_fract_y
_atom_site_fract_z
Al1 Al 0.250 0.015 0.164
Al2 Al 0.250 0.750 0.395
Br1 Br 0.250 0.250 0.969
Br2 Br 0.250 0.578 0.500
```

Computed, not measured: an optimized crystal structure of AlBr3 at the PBE level of DFT.

Summary:
The calculation puts the density of states at the Fermi level at 12.94 states/eV/cell. The calculation puts the formation energy without anion corrections at 173.6 meV/atom. For the electronic total energy, the calculation gives -2.017 eV/atom.

Geometry as CIF:
```
data_AlBr3
_chemical_formula_sum 'Al4 Br12'
_cell_length_a 7.290
_cell_length_b 7.290
_cell_length_c 7.290
_cell_angle_alpha 90.00
_cell_angle_beta 90.00
_cell_angle_gamma 90.00
_symmetry_space_group_name_H-M 'F m -3 m'
_symmetry_Int_Tables_number 225
_symmetry_space_group_name_Hall '-F 4 2 3'
loop_
_atom_site_label
_atom_site_type_symbol
_atom_site_fract_x
_atom_site_fract_y
_atom_site_fract_z
Al1 Al 0.000 0.000 0.000
Br1 Br 0.000 0.000 0.500
Br2 Br 0.250 0.250 0.250
```